A:
A plane-wave DFT calculation with PBE was carried out for a relaxed Ga3GeF crystal.

Output
Space-group type: Pm-3m (221)
Mass density, g/cm3: 3.77

Cell lengths 5.0987, 5.0987, 5.0987 Å; angles 90.00, 90.00, 90.00 degrees
Last column: nearest neighbours and their distance in Å.
Sites, in units of the cell vectors:
Ga 0.0000 0.0000 0.5000  2 Ge 2.55
Ga 0.0000 0.5000 0.0000  2 Ge 2.55
Ga 0.5000 0.0000 0.0000  2 Ge 2.55
Ge 0.0000 0.0000 0.0000  6 Ga 2.55
F 0.5000 0.5000 0.5000  12 Ga 3.61


B:
A plane-wave DFT calculation with PBE was carried out for a relaxed Ga3GeF crystal.

Output
Space-group type: Pm-3m (221)
Mass density, g/cm3: 5.01

Cell lengths 4.6366, 4.6366, 4.6366 Å; angles 90.00, 90.00, 90.00 degrees
Last column: nearest neighbours and their distance in Å.
Sites, in units of the cell vectors:
Ga 0.0000 0.0000 0.5000  2 F 2.32
Ga 0.0000 0.5000 0.0000  2 F 2.32
Ga 0.5000 0.0000 0.0000  2 F 2.32
Ge 0.5000 0.5000 0.5000  12 Ga 3.28
F 0.0000 0.0000 0.0000  6 Ga 2.32


Which one is the least stable? From the structures above, A.